# 1
Below is DyHf2TiN4 after structural relaxation, with properties calculated at the PBE level.

abc: 3.1969 11.2048 11.3682
angles: 90.00 90.00 90.00
Space group Cmcm (No. 63)
Asymmetric unit:
Dy  0.0000  0.1194  0.2500
Hf  0.0000  0.3686  0.0356
Ti  0.0000  0.1459  0.7500
N  0.0000  0.0000  0.0000
N  0.0000  0.2601  0.6177
N  0.0000  0.4626  0.2500

Calculated values
E_form (uncorrected) = -1.496 eV per atom

=====

# 2
Below is Li2VPd4 after structural relaxation, with properties calculated at the PBE level.

abc: 5.9275 5.9275 5.8895
angles: 90.00 90.00 90.00
Space group I4/mmm (No. 139)
Asymmetric unit:
Li  0.0000  0.5000  0.0000
V  0.0000  0.0000  0.0000
Pd  0.2500  0.2500  0.2500

Calculated values
Calculated formation energy = -15 kJ per mole of atoms

=====

# 3
Below is PHPb2 after structural relaxation, with properties calculated at the PBE level.

abc: 6.9941 6.9941 6.9941
angles: 90.00 90.00 90.00
Space group Fm-3m (No. 225)
Asymmetric unit:
P  0.0000  0.0000  0.0000
H  0.0000  0.0000  0.5000
Pb  0.2500  0.2500  0.2500

Calculated values
Total DFT energy (no corrections) = -3.644 eV/atom